# YOs3 | Alexandria | PBE-GGA | optimized geometry
# D(E_F)	5.14	states/eV/f.u.
# DFT formation energy	0.40	eV/atom
# total moment	0.00	μB/cell
data_YOs3
_chemical_formula_sum 'Y4 Os12'
_space_group_name_H-M_alt 'C m c m'
_space_group_IT_number 63
_space_group_name_Hall '-C 2c 2'
_cell_length_a 6.093
_cell_length_b 9.640
_cell_length_c 4.632
_cell_angle_alpha 90.00
_cell_angle_beta 90.00
_cell_angle_gamma 90.00
loop_
_atom_site_label
_atom_site_fract_x
_atom_site_fract_y
_atom_site_fract_z
_atom_site_occupancy
Y1 0.000 0.133 0.250 1
Os1 0.000 0.325 0.750 1
Os2 0.212 0.401 0.250 1